## a
GGA-PBEsol TaNiPt, relaxed; magnetization = 0.00 μB/f.u.; SG = No. 44
1.0
2.8299 0.0000 0.0000
0.0000 3.6594 0.0000
-1.4149 -1.8297 4.1139
Ni Pt Ta
1 1 1
direct
0.9971 0.9971 0.9943
0.6640 0.6640 0.3281
0.3388 0.3388 0.6776



## b
GGA-PBEsol TaNiPt, relaxed; magnetization = 0.00 μB/f.u.; SG = No. 156
1.0
-1.2633 2.4573 -0.3749
-0.0470 -1.9152 -2.0260
-5.4611 -2.4367 2.4302
Ni Pt Ta
1 1 1
direct
0.0000 0.0000 0.0027
0.3333 0.6667 0.6740
0.6667 0.3333 0.3233



Computed stability ranking, most favorable first: a, b



## a
GGA-PBEsol TcNiPt2, relaxed; magnetization = 0.00 μB/f.u.; SG = No. 139
1.0
3.7531 0.0000 0.0000
0.0000 3.7531 0.0000
-1.8765 -1.8765 3.8396
Ni Tc Pt
1 1 2
direct
0.5000 0.5000 0.0000
0.0000 0.0000 0.0000
0.7500 0.2500 0.5000
0.2500 0.7500 0.5000



## b
GGA-PBEsol TcNiPt2, relaxed; magnetization = 0.00 μB/f.u.; SG = No. 8
1.0
2.6811 0.0000 0.0000
-1.3405 4.4270 -0.0061
0.0000 -0.8028 4.5846
Ni Tc Pt
1 1 2
direct
0.7528 0.5057 0.2521
0.4961 0.9922 0.5006
0.0040 0.0080 0.0161
0.2471 0.4942 0.7312



Computed stability ranking, most favorable first: a, b